1.
The following is a PBE-GGA calculation of a relaxed Mg3ZnCd6 crystal, from Alexandria.

Unit cell a=8.744 b=4.724 c=11.323 alpha=90.00 beta=109.88 gamma=90.00
Space group P2_1/m (No. 11)
One atom of each set of equivalent atoms:
Mg (0.013, 0.250, 0.326) (multiplicity 2)
Mg (0.180, 0.750, 0.210) (multiplicity 2)
Mg (0.215, 0.250, 0.894) (multiplicity 2)
Zn (0.482, 0.250, 0.672) (multiplicity 2)
Cd (0.027, 0.750, 0.934) (multiplicity 2)
Cd (0.142, 0.250, 0.615) (multiplicity 2)
Cd (0.237, 0.750, 0.488) (multiplicity 2)
Cd (0.376, 0.250, 0.382) (multiplicity 2)
Cd (0.384, 0.750, 0.783) (multiplicity 2)
Cd (0.412, 0.750, 0.057) (multiplicity 2)

Output
- ΔH_f (0 K): -0.0153 eV/atom
- M_tot: 0.0 μB/f.u.
- DFT total energy: -1.170 eV/atom



2.
The following is a PBE-GGA calculation of a relaxed Co3SiSn crystal, from Alexandria.

Unit cell a=4.641 b=4.641 c=4.641 alpha=90.00 beta=90.00 gamma=90.00
Space group Pm-3m (No. 221)
One atom of each set of equivalent atoms:
Co (0.000, 0.000, 0.500) (multiplicity 3)
Si (0.500, 0.500, 0.500) (multiplicity 1)
Sn (0.000, 0.000, 0.000) (multiplicity 1)

Output
- Energy relative to the lowest polymorph listed for this composition: 1195 meV per atom
- M_tot: 3.9 μB/f.u.
- Formation energy without anion corrections: 1.532 eV per atom
- DFT total energy: -4.617 eV/atom



3.
The following is a PBE-GGA calculation of a relaxed Ce2ScSe2N2 crystal, from Alexandria.

Unit cell a=11.878 b=3.875 c=7.081 alpha=90.00 beta=121.48 gamma=90.00
Space group C2/m (No. 12)
One atom of each set of equivalent atoms:
Ce (0.195, 0.000, 0.254) (multiplicity 4)
Sc (0.000, 0.000, 0.500) (multiplicity 2)
Se (0.063, 0.500, 0.822) (multiplicity 4)
N (0.198, 0.000, 0.582) (multiplicity 4)

Output
- M_tot: 1.0 μB/f.u.
- Formation energy without anion corrections: -1.777 eV per atom
- DFT total energy: -7.751 eV/atom



4.
The following is a PBE-GGA calculation of a relaxed Ni2WBr crystal, from Alexandria.

Unit cell a=2.866 b=2.795 c=7.817 alpha=90.00 beta=90.11 gamma=90.00
Space group P2/m (No. 10)
One atom of each set of equivalent atoms:
Ni (0.002, 0.000, 0.218) (multiplicity 2)
W (0.500, 0.500, 0.000) (multiplicity 1)
Br (0.000, 0.500, 0.500) (multiplicity 1)

Output
- Energy relative to the lowest polymorph listed for this composition: 0 meV per atom
- M_tot: 0.0 μB/f.u.
- Formation energy without anion corrections: 0.353 eV per atom
- DFT total energy: -6.194 eV/atom



5.
The following is a PBE-GGA calculation of a relaxed NaSi crystal, from Alexandria.

Unit cell a=5.878 b=5.878 c=5.878 alpha=90.00 beta=90.00 gamma=90.00
Space group Fm-3m (No. 225)
One atom of each set of equivalent atoms:
Na (0.000, 0.000, 0.000) (multiplicity 4)
Si (0.000, 0.000, 0.500) (multiplicity 4)

Output
- Energy relative to the lowest polymorph listed for this composition: 941 meV per atom
- M_tot: 0.0 μB/f.u.
- Formation energy without anion corrections: 0.928 eV per atom
- DFT total energy: -2.443 eV/atom



6.
The following is a PBE-GGA calculation of a relaxed RbLaCdBr6 crystal, from Alexandria.

Unit cell a=7.5017 b=7.5017 c=15.1891 alpha=90.00 beta=90.00 gamma=120.00
Space group P-31c (No. 163)
One atom of each set of equivalent atoms:
Rb (0.0000, 0.0000, 0.0000) (multiplicity 2)
La (0.3333, 0.6667, 0.2500) (multiplicity 2)
Cd (0.3333, 0.6667, 0.7500) (multiplicity 2)
Br (0.0133, 0.3803, 0.6400) (multiplicity 12)

Output
- M_tot: 0.0 μB/f.u.
- Formation energy without anion corrections: -1.565 eV per atom
- DFT total energy: -3.437 eV/atom



7.
The following is a PBE-GGA calculation of a relaxed Cs2AsF6 crystal, from Alexandria.

Unit cell a=9.240 b=9.240 c=9.240 alpha=90.00 beta=90.00 gamma=90.00
Space group Fm-3m (No. 225)
One atom of each set of equivalent atoms:
Cs (0.250, 0.250, 0.250) (multiplicity 8)
As (0.000, 0.000, 0.000) (multiplicity 4)
F (0.000, 0.000, 0.209) (multiplicity 24)

Output
- Energy relative to the lowest polymorph listed for this composition: 0 meV per atom
- M_tot: 1.0 μB/f.u.
- Formation energy without anion corrections: -2.466 eV per atom
- DFT total energy: -4.420 eV/atom



8.
The following is a PBE-GGA calculation of a relaxed LaReN2 crystal, from Alexandria.

Unit cell a=3.7495 b=3.7495 c=18.3125 alpha=90.00 beta=90.00 gamma=120.00
Space group R-3m (No. 166, hexagonal axes)
One atom of each set of equivalent atoms:
La (0.0000, 0.0000, 0.0000) (multiplicity 3)
Re (0.0000, 0.0000, 0.5000) (multiplicity 3)
N (0.0000, 0.0000, 0.3992) (multiplicity 6)

Output
- Energy relative to the lowest polymorph listed for this composition: 686 meV per atom
- M_tot: 0.0 μB/f.u.
- Formation energy without anion corrections: -0.219 eV per atom
- DFT total energy: -8.725 eV/atom



Question: The highest M_tot belongs to which entry?
Answer: Co3SiSn



Question: Which value of M_tot does entry 2 give?
Answer: 3.9 μB/f.u.